A plane-wave DFT calculation with GGA-PBE was carried out for a geometry-optimized NaThTlPb structure.

a b c (Å): 5.476 5.476 5.476
angles (deg): 60.00 60.00 60.00
Sites, in units of the cell vectors:
Tl: 0.000 0.000 0.000
Na: 0.250 0.250 0.250
Pb: 0.500 0.500 0.500
Th: 0.750 0.750 0.750

Calculated values
The value obtained for the density of states at the Fermi level is 3.09 states/eV/cell. For the formation energy from the elements, the calculation gives -28.3 kJ/mol of formula units.

A plane-wave DFT calculation with GGA-PBE was carried out for a geometry-optimized Sm4PRhSe2 structure.

a b c (Å): 4.094 7.216 7.296
angles (deg): 108.51 90.00 90.00
Sites, in units of the cell vectors:
P: 0.000 0.000 0.000
Rh: 0.500 0.500 0.000
Sm: 0.500 0.754 0.771
Sm: 0.500 0.246 0.229
Sm: 0.000 0.742 0.230
Sm: 0.000 0.258 0.770
Se: 0.000 0.500 0.500
Se: 0.500 0.000 0.500

Calculated values
The value obtained for the density of states at the Fermi level is 6.00 states/eV/cell. Its uncorrected formation energy is -141.1 kJ per mole of atoms.

A plane-wave DFT calculation with GGA-PBE was carried out for a geometry-optimized As2RhPbO8 structure.

a b c (Å): 4.941 4.941 8.558
angles (deg): 73.22 73.22 60.00
Each line ends with the local moment (μB).
Sites, in units of the cell vectors:
As: 0.242 0.242 0.273  0.01
As: 0.758 0.758 0.727  0.01
Rh: 0.500 0.500 0.500  0.66
O: 0.128 0.746 0.667  0.04
O: 0.687 0.687 0.939  0.03
O: 0.872 0.542 0.333  0.04
O: 0.313 0.313 0.061  0.03
O: 0.254 0.872 0.333  0.04
O: 0.746 0.458 0.667  0.04
O: 0.542 0.254 0.333  0.04
O: 0.458 0.128 0.667  0.04
Pb: 0.000 0.000 0.000  0.00

Calculated values
The value obtained for the density of states at the Fermi level is 5.01 states/eV/cell. Its uncorrected formation energy is -81.4 kJ per mole of atoms.

A plane-wave DFT calculation with GGA-PBE was carried out for a geometry-optimized KCO3 structure.

a b c (Å): 11.144 7.289 8.558
angles (deg): 68.58 90.00 90.00
Sites, in units of the cell vectors:
O: 0.160 0.075 0.850
O: 0.958 0.707 0.074
O: 0.840 0.925 0.150
O: 0.458 0.793 0.926
O: 0.195 0.110 0.088
O: 0.542 0.207 0.074
O: 0.078 0.129 0.701
O: 0.765 0.671 0.445
O: 0.553 0.185 0.562
O: 0.735 0.171 0.445
O: 0.042 0.293 0.926
O: 0.578 0.371 0.299
O: 0.447 0.815 0.438
O: 0.695 0.390 0.912
O: 0.922 0.871 0.299
O: 0.805 0.890 0.912
O: 0.660 0.425 0.150
O: 0.305 0.610 0.088
O: 0.053 0.315 0.438
O: 0.265 0.829 0.555
O: 0.340 0.575 0.850
O: 0.422 0.629 0.701
O: 0.947 0.685 0.562
O: 0.235 0.329 0.555
C: 0.130 0.271 0.553
C: 0.370 0.771 0.553
C: 0.630 0.229 0.447
C: 0.627 0.328 0.036
C: 0.127 0.172 0.964
C: 0.873 0.828 0.036
C: 0.870 0.729 0.447
C: 0.373 0.672 0.964
K: 0.408 0.201 0.802
K: 0.844 0.287 0.703
K: 0.344 0.213 0.297
K: 0.092 0.701 0.802
K: 0.908 0.299 0.198
K: 0.656 0.787 0.703
K: 0.592 0.799 0.198
K: 0.156 0.713 0.297

Calculated values
The value obtained for the density of states at the Fermi level is 0.00 states/eV/cell. Its uncorrected formation energy is -140.2 kJ per mole of atoms.

A plane-wave DFT calculation with GGA-PBE was carried out for a geometry-optimized Pr2Dy4Te3N2 structure.

a b c (Å): 4.618 4.618 13.404
angles (deg): 99.92 99.92 90.00
Sites, in units of the cell vectors:
Dy: 0.915 0.415 0.830
Dy: 0.085 0.585 0.170
Dy: 0.415 0.915 0.830
Dy: 0.585 0.085 0.170
N: 0.600 0.600 0.200
N: 0.400 0.400 0.800
Pr: 0.696 0.696 0.393
Pr: 0.304 0.304 0.607
Te: 0.000 0.000 0.000
Te: 0.174 0.174 0.348
Te: 0.826 0.826 0.652

Calculated values
The value obtained for the density of states at the Fermi level is 6.13 states/eV/cell. Its uncorrected formation energy is -116.0 kJ per mole of atoms.

A plane-wave DFT calculation with GGA-PBE was carried out for a geometry-optimized K2TcRu structure.

a b c (Å): 12.434 12.434 9.090
angles (deg): 46.85 46.85 90.00
Each line ends with the local moment (μB).
Sites, in units of the cell vectors:
K: 0.802 0.125 0.250  0.01
K: 0.875 0.052 0.750  0.01
K: 0.375 0.198 0.750  0.01
K: 0.948 0.625 0.250  0.01
Tc: 0.250 0.750 0.500  1.89
Tc: 0.500 0.500 0.000  1.89
Ru: 0.750 0.250 0.500  0.58
Ru: 0.000 0.000 0.000  0.57

Calculated values
Its relative energy among the computed polymorphs is 614 meV/atom. The value obtained for the density of states at the Fermi level is 10.09 states/eV/cell. For the formation energy from the elements, the calculation gives 517.6 kJ/mol of formula units.

A plane-wave DFT calculation with GGA-PBE was carried out for a geometry-optimized NbAlN2O structure.

a b c (Å): 4.092 4.092 3.884
angles (deg): 90.00 90.00 90.00
Sites, in units of the cell vectors:
O: 0.000 0.000 0.500
N: 0.500 0.000 0.000
N: 0.000 0.500 0.000
Nb: 0.000 0.000 0.000
Al: 0.500 0.500 0.500

Calculated values
The value obtained for the density of states at the Fermi level is 1.60 states/eV/cell. Its uncorrected formation energy is -21.0 kJ per mole of atoms.

A plane-wave DFT calculation with GGA-PBE was carried out for a geometry-optimized LiIrCl structure.

a b c (Å): 6.025 6.025 6.025
angles (deg): 152.85 152.85 38.78
Each line ends with the local moment (μB).
Sites, in units of the cell vectors:
Cl: 0.980 0.980 0.000  0.04
Li: 0.350 0.350 0.000  0.00
Ir: 0.671 0.671 0.000  0.74

Calculated values
Its relative energy among the computed polymorphs is 198 meV/atom. The value obtained for the density of states at the Fermi level is 3.50 states/eV/cell. Its uncorrected formation energy is 19.4 kJ per mole of atoms.

A plane-wave DFT calculation with GGA-PBE was carried out for a geometry-optimized SrCaSbW2 structure.

a b c (Å): 5.025 5.761 5.025
angles (deg): 90.00 90.00 90.00
Sites, in units of the cell vectors:
W: 0.000 0.000 0.500
W: 0.500 0.000 0.000
Sb: 0.000 0.500 0.000
Sr: 0.000 0.000 0.000
Ca: 0.500 0.500 0.500

Calculated values
The value obtained for the density of states at the Fermi level is 8.90 states/eV/cell. Its uncorrected formation energy is 235.4 kJ per mole of atoms.

A plane-wave DFT calculation with GGA-PBE was carried out for a geometry-optimized Tl2CdRe structure.

a b c (Å): 2.916 2.916 11.453
angles (deg): 90.00 90.00 90.00
Sites, in units of the cell vectors:
Tl: 0.000 0.000 0.538
Tl: 0.000 0.000 0.962
Cd: 0.500 0.500 0.250
Re: 0.500 0.500 0.750

Calculated values
Its relative energy among the computed polymorphs is 159 meV/atom. The value obtained for the density of states at the Fermi level is 2.23 states/eV/cell. For the formation energy from the elements, the calculation gives 312.8 kJ/mol of formula units.

A plane-wave DFT calculation with GGA-PBE was carried out for a geometry-optimized ZrAs2Pt structure.

a b c (Å): 5.498 5.498 5.498
angles (deg): 138.75 138.75 59.76
Sites, in units of the cell vectors:
As: 0.000 0.000 0.000
As: 0.250 0.750 0.500
Zr: 0.750 0.250 0.500
Pt: 0.500 0.500 0.000

Calculated values
The value obtained for the density of states at the Fermi level is 3.11 states/eV/cell. For the formation energy from the elements, the calculation gives -216.6 kJ/mol of formula units.

A plane-wave DFT calculation with GGA-PBE was carried out for a geometry-optimized Cu2SeO2 structure.

a b c (Å): 3.641 3.641 6.209
angles (deg): 72.95 72.95 90.00
Sites, in units of the cell vectors:
Se: 0.000 0.000 0.000
O: 0.750 0.250 0.500
O: 0.250 0.750 0.500
Cu: 0.691 0.691 0.617
Cu: 0.309 0.309 0.383

Calculated values
Its relative energy among the computed polymorphs is 0 meV/atom. The value obtained for the density of states at the Fermi level is 2.92 states/eV/cell. Its uncorrected formation energy is 1.8 kJ per mole of atoms.

A plane-wave DFT calculation with GGA-PBE was carried out for a geometry-optimized ReSb2Te structure.

a b c (Å): 5.279 5.279 5.279
angles (deg): 128.23 128.23 76.25
Sites, in units of the cell vectors:
Sb: 0.500 0.500 0.000
Sb: 0.000 0.000 0.000
Re: 0.750 0.250 0.500
Te: 0.250 0.750 0.500

Calculated values
The value obtained for the density of states at the Fermi level is 2.08 states/eV/cell. Its uncorrected formation energy is 80.2 kJ per mole of atoms.

A plane-wave DFT calculation with GGA-PBE was carried out for a geometry-optimized Dy2Tm2ThMg5 structure.

a b c (Å): 5.154 10.476 10.476
angles (deg): 90.00 90.00 90.00
Sites, in units of the cell vectors:
Mg: 0.500 0.076 0.802
Mg: 0.500 0.198 0.076
Mg: 0.500 0.802 0.924
Mg: 0.500 0.576 0.698
Mg: 0.500 0.424 0.302
Mg: 0.500 0.000 0.500
Mg: 0.500 0.500 0.000
Mg: 0.500 0.924 0.198
Mg: 0.500 0.698 0.424
Mg: 0.500 0.302 0.576
Tm: 0.000 0.118 0.618
Tm: 0.000 0.882 0.382
Tm: 0.000 0.618 0.882
Tm: 0.000 0.382 0.118
Dy: 0.000 0.678 0.178
Dy: 0.000 0.178 0.322
Dy: 0.000 0.322 0.822
Dy: 0.000 0.822 0.678
Th: 0.000 0.500 0.500
Th: 0.000 0.000 0.000

Calculated values
The value obtained for the density of states at the Fermi level is 15.15 states/eV/cell. For the formation energy from the elements, the calculation gives 115.9 kJ/mol of formula units.

A plane-wave DFT calculation with GGA-PBE was carried out for a geometry-optimized Tm2Th2In structure.

a b c (Å): 4.491 4.491 8.829
angles (deg): 104.74 104.74 90.00
Sites, in units of the cell vectors:
Th: 0.250 0.750 0.500
Th: 0.750 0.250 0.500
In: 0.000 0.000 0.000
Tm: 0.592 0.592 0.185
Tm: 0.408 0.408 0.815

Calculated values
The value obtained for the density of states at the Fermi level is 6.72 states/eV/cell. For the formation energy from the elements, the calculation gives 220.5 kJ/mol of formula units.

A plane-wave DFT calculation with GGA-PBE was carried out for a geometry-optimized In2WBr structure.

a b c (Å): 7.939 7.939 7.939
angles (deg): 157.95 144.70 42.02
Sites, in units of the cell vectors:
In: 0.662 0.162 0.500
In: 0.012 0.012 0.000
Br: 0.343 0.843 0.500
W: 0.483 0.483 0.000

Calculated values
Its relative energy among the computed polymorphs is 79 meV/atom. The value obtained for the density of states at the Fermi level is 3.26 states/eV/cell. Its uncorrected formation energy is 42.3 kJ per mole of atoms.

A plane-wave DFT calculation with GGA-PBE was carried out for a geometry-optimized HoN2F4 structure.

a b c (Å): 3.965 3.985 8.569
angles (deg): 86.17 97.36 59.37
Each line ends with the local moment (μB).
Sites, in units of the cell vectors:
Ho: 0.000 0.000 0.000  -0.01
N: 0.989 0.545 0.436  0.09
N: 0.011 0.455 0.564  0.09
F: 0.837 0.074 0.742  0.33
F: 0.163 0.926 0.258  0.33
F: 0.361 0.313 0.056  0.03
F: 0.639 0.687 0.944  0.03

Calculated values
The value obtained for the density of states at the Fermi level is 3.54 states/eV/cell. Its uncorrected formation energy is -209.0 kJ per mole of atoms.

A plane-wave DFT calculation with GGA-PBE was carried out for a geometry-optimized La4Pm5Th structure.

a b c (Å): 3.678 3.678 26.110
angles (deg): 90.00 90.00 90.00
Sites, in units of the cell vectors:
Pm: 0.500 0.500 0.907
Pm: 0.500 0.500 0.298
Pm: 0.500 0.500 0.093
Pm: 0.500 0.500 0.702
Pm: 0.500 0.500 0.500
La: 0.000 0.000 0.802
La: 0.000 0.000 0.198
La: 0.000 0.000 0.601
La: 0.000 0.000 0.399
Th: 0.000 0.000 0.000

Calculated values
Its relative energy among the computed polymorphs is 0 meV/atom. The value obtained for the density of states at the Fermi level is 17.85 states/eV/cell. For the formation energy from the elements, the calculation gives 24.6 kJ/mol of formula units.

A plane-wave DFT calculation with GGA-PBE was carried out for a geometry-optimized BaPmGa2 structure.

a b c (Å): 3.950 3.950 9.716
angles (deg): 78.27 78.27 60.00
Sites, in units of the cell vectors:
Pm: 0.000 0.000 0.000
Ga: 0.258 0.258 0.226
Ga: 0.742 0.742 0.774
Ba: 0.500 0.500 0.500

Calculated values
The value obtained for the density of states at the Fermi level is 4.30 states/eV/cell. For the formation energy from the elements, the calculation gives -71.0 kJ/mol of formula units.

A plane-wave DFT calculation with GGA-PBE was carried out for a geometry-optimized KPmPbCl6 structure.

a b c (Å): 6.844 6.844 13.301
angles (deg): 90.00 90.00 90.00
Sites, in units of the cell vectors:
Cl: 0.283 0.283 0.322
Cl: 0.301 0.301 0.686
Cl: 0.717 0.717 0.322
Cl: 0.181 0.819 0.492
Cl: 0.319 0.319 0.992
Cl: 0.801 0.199 0.186
Cl: 0.681 0.681 0.992
Cl: 0.199 0.801 0.186
Cl: 0.783 0.217 0.822
Cl: 0.819 0.181 0.492
Cl: 0.217 0.783 0.822
Cl: 0.699 0.699 0.686
K: 0.000 0.000 0.999
K: 0.500 0.500 0.499
Pb: 0.000 0.000 0.667
Pb: 0.500 0.500 0.167
Pm: 0.500 0.500 0.833
Pm: 0.000 0.000 0.333

Calculated values
The value obtained for the density of states at the Fermi level is 0.00 states/eV/cell. Its uncorrected formation energy is -177.8 kJ per mole of atoms.

A plane-wave DFT calculation with GGA-PBE was carried out for a geometry-optimized LiZnAu6 structure.

a b c (Å): 4.083 4.083 8.185
angles (deg): 90.00 90.00 90.00
Sites, in units of the cell vectors:
Au: 0.000 0.500 0.752
Au: 0.500 0.500 0.500
Au: 0.500 0.500 0.000
Au: 0.000 0.500 0.248
Au: 0.500 0.000 0.752
Au: 0.500 0.000 0.248
Li: 0.000 0.000 0.000
Zn: 0.000 0.000 0.500

Calculated values
The value obtained for the density of states at the Fermi level is 1.82 states/eV/cell. For the formation energy from the elements, the calculation gives -183.9 kJ/mol of formula units.

A plane-wave DFT calculation with GGA-PBE was carried out for a geometry-optimized LiAcHg6 structure.

a b c (Å): 5.139 6.897 6.897
angles (deg): 120.02 90.00 90.00
Sites, in units of the cell vectors:
Hg: 0.500 0.398 0.074
Hg: 0.000 0.596 0.404
Hg: 0.000 0.058 0.404
Hg: 0.500 0.926 0.602
Hg: 0.000 0.596 0.942
Hg: 0.500 0.926 0.074
Li: 0.000 0.083 0.917
Ac: 0.500 0.417 0.583

Calculated values
Its relative energy among the computed polymorphs is 25 meV/atom. The value obtained for the density of states at the Fermi level is 3.65 states/eV/cell. For the formation energy from the elements, the calculation gives -211.8 kJ/mol of formula units.

A plane-wave DFT calculation with GGA-PBE was carried out for a geometry-optimized Pm10PrDy6 structure.

a b c (Å): 6.907 9.837 9.837
angles (deg): 120.00 90.00 90.00
Sites, in units of the cell vectors:
Dy: 0.306 0.000 0.373
Dy: 0.694 0.627 0.000
Dy: 0.306 0.627 0.627
Dy: 0.694 0.000 0.627
Dy: 0.306 0.373 0.000
Dy: 0.694 0.373 0.373
Pm: 0.818 0.000 0.277
Pm: 0.182 0.277 0.277
Pm: 0.500 0.667 0.333
Pm: 0.182 0.723 0.000
Pm: 0.818 0.723 0.723
Pm: 0.500 0.333 0.667
Pm: 0.182 0.000 0.723
Pm: 0.000 0.333 0.667
Pm: 0.000 0.667 0.333
Pm: 0.818 0.277 0.000
Pr: 0.500 0.000 0.000

Calculated values
The value obtained for the density of states at the Fermi level is 25.45 states/eV/cell. For the formation energy from the elements, the calculation gives 214.7 kJ/mol of formula units.